{
  "formula": "CsNpCuI5",
  "functional": "PBE-GGA",
  "state": "relaxed",
  "cell": [[8.614, 0.096, -0.087], [-2.423, 8.266, -0.087], [-2.676, -3.614, 10.673]],
  "species": ["I", "I", "I", "I", "I", "I", "I", "I", "I", "I", "Cu", "Cu", "Np", "Np", "Cs", "Cs"],
  "frac_coords": [[0.778, 0.614, 0.422], [0.081, 0.919, 0.250], [0.386, 0.222, 0.078], [0.898, 0.311, 0.114], [0.102, 0.689, 0.886], [0.222, 0.386, 0.578], [0.689, 0.102, 0.386], [0.311, 0.898, 0.614], [0.614, 0.778, 0.922], [0.919, 0.081, 0.750], [0.306, 0.694, 0.750], [0.694, 0.306, 0.250], [0.000, 0.000, 0.000], [0.000, 0.000, 0.500], [0.356, 0.644, 0.250], [0.644, 0.356, 0.750]],
  "sg": "C2/c, No. 15"
}

{
  "formula": "ReHg2Os2",
  "functional": "PBE-GGA",
  "state": "relaxed",
  "cell": [[-3.120, 0.665, -5.617], [-1.162, -6.353, -0.106], [-3.866, 0.670, 2.227]],
  "species": ["Hg", "Hg", "Hg", "Hg", "Os", "Os", "Os", "Os", "Re", "Re"],
  "frac_coords": [[0.180, 0.680, 0.500], [0.820, 0.320, 0.500], [0.680, 0.820, 0.500], [0.320, 0.180, 0.500], [0.867, 0.633, 0.000], [0.633, 0.133, 0.000], [0.367, 0.867, 0.000], [0.133, 0.367, 0.000], [0.500, 0.500, 0.000], [0.000, 0.000, 0.000]],
  "polymorph_energy_mev_per_atom": 0,
  "sg": "P4/mbm, No. 127",
  "delta_e_f_ev_per_atom": 0.9585
}

| no. | D(E_F) (states/eV/atom) | E_tot (eV/f.u.) |
| --- | --- | --- |
| 1 | 0.720 | -32.320 |
| 2 | 0.845 | -30.719 |